Entry 1:
This record from Alexandria describes CaYTl2 after structural relaxation. The functional is PBE. Values from VASP.

Quantum ESPRESSO input file:
```
&SYSTEM
  ibrav = 0, nat = 4, ntyp = 3
/
ATOMIC_SPECIES
Ca 40.08 Ca.upf
Y 88.91 Y.upf
Tl 204.38 Tl.upf
CELL_PARAMETERS angstrom
1.821 1.051 11.003
-1.821 1.051 11.003
0.000 -2.103 11.003
ATOMIC_POSITIONS angstrom
Ca 0.000 0.000 0.000
Y 0.000 0.000 25.038
Tl 0.000 0.000 8.265
Tl 0.000 0.000 16.691
```

The value obtained for the total magnetic moment is 0.48 μB/f.u. The calculation puts the energy of formation at -0.05 eV per atom.

***

Entry 2:
This record from Alexandria describes Tb6CdCo2 after structural relaxation. The functional is PBE. Values from VASP.

Quantum ESPRESSO input file:
```
&SYSTEM
  ibrav = 0, nat = 9, ntyp = 3
/
ATOMIC_SPECIES
Tb 158.93 Tb.upf
Cd 112.41 Cd.upf
Co 58.93 Co.upf
CELL_PARAMETERS angstrom
5.110 -2.470 0.000
5.110 2.470 0.000
-2.035 0.000 8.898
ATOMIC_POSITIONS angstrom
Tb -0.375 0.000 3.071
Tb 1.564 0.000 5.859
Tb 3.188 0.000 1.098
Tb 4.997 0.000 7.800
Tb 6.621 0.000 3.039
Tb 8.560 0.000 5.827
Cd 0.000 0.000 0.000
Co 3.151 0.000 3.692
Co 5.034 0.000 5.207
```

The value obtained for the total magnetic moment is 0.00 μB/f.u. The calculation puts the energy of formation at -0.08 eV per atom.

***

Entry 3:
This record from Alexandria describes MnCoOs2 after structural relaxation. The functional is PBE. Values from VASP.

Quantum ESPRESSO input file:
```
&SYSTEM
  ibrav = 0, nat = 4, ntyp = 3
/
ATOMIC_SPECIES
Mn 54.94 Mn.upf
Co 58.93 Co.upf
Os 190.23 Os.upf
CELL_PARAMETERS angstrom
-1.867 1.867 3.628
1.867 -1.867 3.628
1.867 1.867 -3.628
ATOMIC_POSITIONS angstrom
Mn 0.000 0.000 0.000
Co 0.000 0.000 3.628
Os 1.867 0.000 1.814
Os 0.000 1.867 1.814
```

The value obtained for the total magnetic moment is 0.60 μB/f.u. The calculation puts the energy of formation at 0.10 eV per atom.

***

Entry 4:
This record from Alexandria describes Cs2NiPCl6 after structural relaxation. The functional is PBE. Values from VASP.

Quantum ESPRESSO input file:
```
&SYSTEM
  ibrav = 0, nat = 10, ntyp = 4
/
ATOMIC_SPECIES
Cs 132.91 Cs.upf
Ni 58.69 Ni.upf
P 30.97 P.upf
Cl 35.45 Cl.upf
CELL_PARAMETERS angstrom
-3.553 3.553 5.023
3.553 -3.553 5.023
3.553 3.553 -5.023
ATOMIC_POSITIONS angstrom
Cs 3.553 0.000 2.511
Cs 0.000 3.553 2.511
Ni 0.000 0.000 0.000
P 0.000 0.000 5.023
Cl 0.000 0.000 2.498
Cl 1.778 1.778 0.000
Cl 1.775 -1.775 5.023
Cl -1.775 1.775 5.023
Cl 1.775 1.775 5.023
Cl 0.000 0.000 7.547
```

The value obtained for the total magnetic moment is 1.00 μB/f.u. For the energy, the calculation gives -3.40 eV per atom.